First-principles (PBE) data for an optimized crystal structure of Tl2GaSbSe4, as listed in the Alexandria database.

Output
electronic total energy = -3.61 eV per atom
ρ = 6523 kg/m3
formation energy from raw total energies = -0.38 eV/atom

Lattice parameters (Å, degrees): 6.998 6.750 6.750 74.41 58.78 58.78
Fractional positions:
Tl: 0.000 0.500 0.500
Tl: 0.500 0.500 0.500
Ga: 0.500 0.000 0.000
Sb: 0.000 0.000 0.000
Se: 0.115 0.340 0.000
Se: 0.885 0.000 0.660
Se: 0.545 0.000 0.340
Se: 0.455 0.660 0.000

First-principles (PBE) data for an optimized crystal structure of Pm12Sm6Pb, as listed in the Alexandria database.

Output
electronic total energy = -4.62 eV per atom
ρ = 7190 kg/m3
ΔE_f = 123 kJ/mol of formula units

Lattice parameters (Å, degrees): 8.790 8.790 8.790 97.87 97.87 97.87
Fractional positions:
Pm: 0.580 0.172 0.580
Pm: 0.172 0.580 0.580
Pm: 0.580 0.580 0.172
Pm: 0.420 0.828 0.420
Pm: 0.828 0.420 0.420
Pm: 0.420 0.420 0.828
Pm: 0.259 0.000 0.741
Pm: 0.259 0.741 0.000
Pm: 0.000 0.259 0.741
Pm: 0.741 0.000 0.259
Pm: 0.741 0.259 0.000
Pm: 0.000 0.741 0.259
Sm: 0.135 0.135 0.407
Sm: 0.865 0.593 0.865
Sm: 0.593 0.865 0.865
Sm: 0.865 0.865 0.593
Sm: 0.135 0.407 0.135
Sm: 0.407 0.135 0.135
Pb: 0.000 0.000 0.000

Q: The lowest electronic total energy belongs to which entry?
A: Pm12Sm6Pb

Q: Among the records above, which one has the lowest ρ?
A: Tl2GaSbSe4

Q: Which value of electronic total energy does entry 2 give?
A: -4.62 eV per atom

Q: Among the records above, which one has the highest electronic total energy?
A: Tl2GaSbSe4